(1)
First-principles (PBE) data for crystalline SmGa2Fe2C at its relaxed geometry, as listed in the Alexandria database.

- Uncorrected energy: -6.47 eV per atom
- Density of states at the Fermi level: 3.7 states/eV per cell
- ΔH_f (0 K): -1.9 eV/f.u.

a b c (Å): 3.879 3.879 5.613
angles (deg): 90.00 90.00 90.00
Fractional positions:
Sm 0.000 0.000 0.000
Ga 0.500 0.500 0.229
Ga 0.500 0.500 0.771
Fe 0.000 0.500 0.500
Fe 0.500 0.000 0.500
C 0.000 0.000 0.500

=====

(2)
First-principles (PBE) data for crystalline Sm2Ga2Fe15C at its relaxed geometry, as listed in the Alexandria database.

- Uncorrected energy: -7.64 eV per atom
- Density of states at the Fermi level: 17.5 states/eV per cell
- ΔH_f (0 K): -1.1 eV/f.u.

a b c (Å): 6.502 6.502 6.478
angles (deg): 96.80 96.80 83.17
Fractional positions:
Sm 0.156 0.156 0.357
Sm 0.844 0.844 0.643
Ga 0.395 0.395 0.103
Ga 0.605 0.605 0.897
Fe 0.000 0.500 0.000
Fe 0.156 0.156 0.850
Fe 0.160 0.653 0.343
Fe 0.206 0.499 0.708
Fe 0.214 0.786 0.000
Fe 0.347 0.840 0.657
Fe 0.499 0.206 0.708
Fe 0.500 0.000 0.000
Fe 0.500 0.500 0.500
Fe 0.501 0.794 0.292
Fe 0.653 0.160 0.343
Fe 0.786 0.214 0.000
Fe 0.794 0.501 0.292
Fe 0.840 0.347 0.657
Fe 0.844 0.844 0.150
C 0.000 0.000 0.000